This record from the Alexandria database describes a geometry-optimized Ca3Cd9Ag2 structure. The functional is PBE.

Total magnetic moment, μB per cell: 0.00
Energy of formation, eV per atom: -0.24
Final energy, eV/atom: -1.666
Mass density, kg/m³: 6556

Cell lengths 4.8898, 10.4564, 13.3515 Å; angles 90.00, 90.00, 90.00 degrees
Space group Immm (No. 71)
Symmetry-distinct sites (fractional):
Ca 0.0000 0.0000 0.0000
Ca 0.0000 0.0000 0.2934
Cd 0.0000 0.2793 0.1342
Cd 0.0000 0.3633 0.3528
Cd 0.0000 0.5000 0.0000
Ag 0.0000 0.1577 0.5000